Entry 1:
# Li2MgAl2CdPt2 | OQMD via LeMat-Bulk | PBE | optimized geometry
# magnetization	0.0	μB per formula unit
data_Li2MgAl2CdPt2
_space_group_name_H-M_alt 'P -4 m 2'
_space_group_IT_number 115
_space_group_name_Hall 'P -4 -2'
_cell_length_a 4.4305
_cell_length_b 4.4305
_cell_length_c 6.2889
_cell_angle_alpha 90.00
_cell_angle_beta 90.00
_cell_angle_gamma 90.00
loop_
_atom_site_label
_atom_site_type_symbol
_atom_site_fract_x
_atom_site_fract_y
_atom_site_fract_z
Li1 Li 0.0000 0.5000 0.2487
Mg1 Mg 0.0000 0.0000 0.5000
Al1 Al 0.0000 0.0000 0.0000
Al2 Al 0.5000 0.5000 0.5000
Cd1 Cd 0.5000 0.5000 0.0000
Pt1 Pt 0.0000 0.5000 0.7363

***

Entry 2:
DFT (PBE) results for an optimized crystal structure of Li2AlCd2SiPd2.

CIF file:
```
data_Li2AlCd2SiPd2
_space_group_name_H-M_alt 'P -4 m 2'
_space_group_IT_number 115
_space_group_name_Hall 'P -4 -2'
_cell_length_a 4.4414
_cell_length_b 4.4414
_cell_length_c 6.2820
_cell_angle_alpha 90.00
_cell_angle_beta 90.00
_cell_angle_gamma 90.00
loop_
_atom_site_label
_atom_site_type_symbol
_atom_site_fract_x
_atom_site_fract_y
_atom_site_fract_z
Li1 Li 0.0000 0.5000 0.2418
Al1 Al 0.0000 0.0000 0.5000
Cd1 Cd 0.0000 0.0000 0.0000
Cd2 Cd 0.5000 0.5000 0.5000
Si1 Si 0.5000 0.5000 0.0000
Pd1 Pd 0.0000 0.5000 0.7563
```

***

Entry 3:
DFT (PBE) results for an optimized crystal structure of Li2AlCd2SnPd2.

CIF file:
```
data_Li2AlCd2SnPd2
_space_group_name_H-M_alt 'P -4 m 2'
_space_group_IT_number 115
_space_group_name_Hall 'P -4 -2'
_cell_length_a 4.5680
_cell_length_b 4.5680
_cell_length_c 6.4885
_cell_angle_alpha 90.00
_cell_angle_beta 90.00
_cell_angle_gamma 90.00
loop_
_atom_site_label
_atom_site_type_symbol
_atom_site_fract_x
_atom_site_fract_y
_atom_site_fract_z
Li1 Li 0.0000 0.5000 0.2382
Al1 Al 0.5000 0.5000 0.0000
Cd1 Cd 0.0000 0.0000 0.0000
Cd2 Cd 0.5000 0.5000 0.5000
Sn1 Sn 0.0000 0.0000 0.5000
Pd1 Pd 0.0000 0.5000 0.7641
```

***

Entry 4:
DFT (PBE) results for an optimized crystal structure of Li2AlZnCd2Pd2.

CIF file:
```
data_Li2AlZnCd2Pd2
_space_group_name_H-M_alt 'P -4 m 2'
_space_group_IT_number 115
_space_group_name_Hall 'P -4 -2'
_cell_length_a 4.4703
_cell_length_b 4.4703
_cell_length_c 6.3093
_cell_angle_alpha 90.00
_cell_angle_beta 90.00
_cell_angle_gamma 90.00
loop_
_atom_site_label
_atom_site_type_symbol
_atom_site_fract_x
_atom_site_fract_y
_atom_site_fract_z
Li1 Li 0.0000 0.5000 0.2450
Al1 Al 0.0000 0.0000 0.5000
Zn1 Zn 0.5000 0.5000 0.0000
Cd1 Cd 0.0000 0.0000 0.0000
Cd2 Cd 0.5000 0.5000 0.5000
Pd1 Pd 0.0000 0.5000 0.7392
```

***

Entry 5:
# Li4AlCdPt2 | OQMD via LeMat-Bulk | PBE | optimized geometry
# magnetization	0.0	μB per formula unit
data_Li4AlCdPt2
_space_group_name_H-M_alt 'P -4 m 2'
_space_group_IT_number 115
_space_group_name_Hall 'P -4 -2'
_cell_length_a 4.3177
_cell_length_b 4.3177
_cell_length_c 6.3290
_cell_angle_alpha 90.00
_cell_angle_beta 90.00
_cell_angle_gamma 90.00
loop_
_atom_site_label
_atom_site_type_symbol
_atom_site_fract_x
_atom_site_fract_y
_atom_site_fract_z
Li1 Li 0.0000 0.0000 0.0000
Li2 Li 0.0000 0.5000 0.7413
Li3 Li 0.5000 0.5000 0.5000
Al1 Al 0.0000 0.0000 0.5000
Cd1 Cd 0.5000 0.5000 0.0000
Pt1 Pt 0.0000 0.5000 0.2831

***

Entry 6:
# Li2AlZnCd2Pt2 | OQMD via LeMat-Bulk | PBE | optimized geometry
# magnetization	0.0	μB per formula unit
data_Li2AlZnCd2Pt2
_space_group_name_H-M_alt 'P -4 m 2'
_space_group_IT_number 115
_space_group_name_Hall 'P -4 -2'
_cell_length_a 4.4659
_cell_length_b 4.4659
_cell_length_c 6.3163
_cell_angle_alpha 90.00
_cell_angle_beta 90.00
_cell_angle_gamma 90.00
loop_
_atom_site_label
_atom_site_type_symbol
_atom_site_fract_x
_atom_site_fract_y
_atom_site_fract_z
Li1 Li 0.0000 0.5000 0.2451
Al1 Al 0.0000 0.0000 0.5000
Zn1 Zn 0.5000 0.5000 0.0000
Cd1 Cd 0.0000 0.0000 0.0000
Cd2 Cd 0.5000 0.5000 0.5000
Pt1 Pt 0.0000 0.5000 0.7382

***

Entry 7:
DFT (PBE) results for an optimized crystal structure of Li4AlCd2Sn.

CIF file:
```
data_Li4AlCd2Sn
_space_group_name_H-M_alt 'P -4 m 2'
_space_group_IT_number 115
_space_group_name_Hall 'P -4 -2'
_cell_length_a 4.6190
_cell_length_b 4.6190
_cell_length_c 6.5654
_cell_angle_alpha 90.00
_cell_angle_beta 90.00
_cell_angle_gamma 90.00
loop_
_atom_site_label
_atom_site_type_symbol
_atom_site_fract_x
_atom_site_fract_y
_atom_site_fract_z
Li1 Li 0.0000 0.0000 0.0000
Li2 Li 0.0000 0.5000 0.7442
Li3 Li 0.5000 0.5000 0.5000
Al1 Al 0.0000 0.0000 0.5000
Cd1 Cd 0.0000 0.5000 0.2704
Sn1 Sn 0.5000 0.5000 0.0000
```

***

Entry 8:
DFT (PBE) results for an optimized crystal structure of Li4AlTlCd2.

CIF file:
```
data_Li4AlTlCd2
_space_group_name_H-M_alt 'P -4 m 2'
_space_group_IT_number 115
_space_group_name_Hall 'P -4 -2'
_cell_length_a 4.6427
_cell_length_b 4.6427
_cell_length_c 6.6006
_cell_angle_alpha 90.00
_cell_angle_beta 90.00
_cell_angle_gamma 90.00
loop_
_atom_site_label
_atom_site_type_symbol
_atom_site_fract_x
_atom_site_fract_y
_atom_site_fract_z
Li1 Li 0.0000 0.0000 0.0000
Li2 Li 0.0000 0.5000 0.7428
Li3 Li 0.5000 0.5000 0.5000
Al1 Al 0.0000 0.0000 0.5000
Tl1 Tl 0.5000 0.5000 0.0000
Cd1 Cd 0.0000 0.5000 0.2730
```

***

Let's list mass density in order: 8.00 6.79 7.32 7.16 7.84 9.51 4.72 5.65 g/cm3.
Let's list total DFT energy (no corrections) in order: -3.8921 -3.5296 -3.4238 -3.0616 -3.6491 -3.3571 -2.4257 -2.1633 eV/atom.